CeSmThPa: relaxed, PBE.

Output
- ρ: 10.66 g cm⁻³
- Magnetic moment: 0.1 μB/cell
- Electronic total energy: -6.55 eV per atom

a = 5.496 Å, b = 5.496 Å, c = 5.496 Å
α = 60.00°, β = 60.00°, γ = 60.00°
Fractional positions:
Pa (0.750, 0.750, 0.750)
Sm (0.250, 0.250, 0.250)
Th (0.000, 0.000, 0.000)
Ce (0.500, 0.500, 0.500)

Sc4Ni2H: relaxed, PBE.

Output
- ρ: 4.18 g cm⁻³
- Magnetic moment: 0.0 μB/cell
- Electronic total energy: -6.06 eV per atom

a = 4.319 Å, b = 4.319 Å, c = 7.047 Å
α = 107.84°, β = 107.84°, γ = 90.00°
Fractional positions:
Sc (0.810, 0.810, 0.620)
Sc (0.190, 0.190, 0.380)
Sc (0.000, 0.500, 0.000)
Sc (0.500, 0.000, 0.000)
Ni (0.619, 0.619, 0.239)
Ni (0.381, 0.381, 0.761)
H (0.000, 0.000, 0.000)

TeSeN2: relaxed, PBE.

Output
- Formation energy (no corrections): 1.22 eV/atom
- Excess energy over the best structure of this formula in the dataset: 1158 meV per atom
- ρ: 6.40 g cm⁻³
- Magnetic moment: 0.0 μB/cell

a = 6.941 Å, b = 6.941 Å, c = 6.941 Å
α = 27.02°, β = 27.02°, γ = 27.02°
Fractional positions:
Te (0.000, 0.000, 0.000)
Se (0.500, 0.500, 0.500)
N (0.889, 0.889, 0.889)
N (0.111, 0.111, 0.111)

Ga2CuMo: relaxed, PBE.

Output
- Excess energy over the best structure of this formula in the dataset: 0 meV per atom
- ρ: 8.62 g cm⁻³
- Magnetic moment: 0.0 μB/cell

a = 3.521 Å, b = 4.045 Å, c = 4.045 Å
α = 90.00°, β = 90.00°, γ = 90.00°
Fractional positions:
Mo (0.500, 0.500, 0.500)
Cu (0.500, 0.000, 0.000)
Ga (0.000, 0.000, 0.500)
Ga (0.000, 0.500, 0.000)

CsK2PrI6: relaxed, PBE.

Output
- Formation energy (no corrections): -1.47 eV/atom
- ρ: 3.39 g cm⁻³
- Magnetic moment: 0.0 μB/cell

a = 8.922 Å, b = 8.924 Å, c = 9.435 Å
α = 61.77°, β = 61.78°, γ = 60.01°
Fractional positions:
Cs (0.810, 0.810, 0.571)
K (0.524, 0.524, 0.429)
K (0.008, 0.008, 0.975)
Pr (0.325, 0.326, 0.024)
I (0.565, 0.234, 0.237)
I (0.234, 0.965, 0.237)
I (0.965, 0.565, 0.237)
I (0.382, 0.699, 0.769)
I (0.699, 0.150, 0.769)
I (0.150, 0.382, 0.769)

TaTlCu2S4: relaxed, PBE.

Output
- Formation energy (no corrections): -0.48 eV/atom
- Excess energy over the best structure of this formula in the dataset: 169 meV per atom
- ρ: 5.84 g cm⁻³
- Magnetic moment: 0.0 μB/cell

a = 6.177 Å, b = 6.177 Å, c = 6.466 Å
α = 118.47°, β = 118.47°, γ = 90.11°
Fractional positions:
Ta (0.500, 0.500, 0.000)
Tl (0.001, 0.001, 0.002)
Cu (0.750, 0.250, 0.499)
Cu (0.250, 0.750, 0.499)
S (0.552, 0.552, 0.695)
S (0.448, 0.857, 0.305)
S (0.857, 0.448, 0.305)
S (0.143, 0.143, 0.695)

Q: ρ of number 1 (CeSmThPa)?
A: 10.66 g cm⁻³

Q: magnetic moment of number 1 (CeSmThPa)?
A: 0.1 μB/cell

Q: Number 5 is which compound?
A: CsK2PrI6